Record 1
# PBE CsHoZnSe3, optimized geometry
data_CsHoZnSe3
_cell_length_a 4.169
_cell_length_b 16.288
_cell_length_c 10.984
_cell_angle_alpha 90.00
_cell_angle_beta 90.00
_cell_angle_gamma 90.00
_space_group_name_H-M_alt 'C m c m'
_space_group_IT_number 63
_space_group_name_Hall '-C 2c 2'
loop_
_atom_site_label
_atom_site_fract_x
_atom_site_fract_y
_atom_site_fract_z
Cs1 0.000 0.244 0.250
Ho1 0.000 0.500 0.000
Zn1 0.000 0.037 0.750
Se1 0.000 0.115 0.559
Se2 0.000 0.444 0.750
# spin magnetization: 0.0 Bohr magnetons per cell
# E_form (uncorrected): -1.424 eV/atom
# crystal system: orthorhombic
# offset from the most stable computed form: 0.000 eV per atom

***

Record 2
# PBE CsK4In5, optimized geometry
data_CsK4In5
_cell_length_a 12.283
_cell_length_b 12.756
_cell_length_c 5.193
_cell_angle_alpha 90.00
_cell_angle_beta 90.00
_cell_angle_gamma 90.00
_space_group_name_H-M_alt 'P m m n'
_space_group_IT_number 59
loop_
_space_group_symop_operation_xyz
'x,y,z'
'-x,-y,-z'
'-x+1/2,-y+1/2,z'
'x+1/2,y+1/2,-z'
'x+1/2,-y,-z'
'-x+1/2,y,z'
'-x,y+1/2,-z'
'x,-y+1/2,z'
loop_
_atom_site_label
_atom_site_fract_x
_atom_site_fract_y
_atom_site_fract_z
Cs1 0.250 0.250 0.233
K1 0.023 0.750 0.253
K2 0.250 0.546 0.252
In1 0.042 0.541 0.750
In2 0.250 0.750 0.753
# spin magnetization: 0.0 Bohr magnetons per cell
# crystal system: orthorhombic
# formation energy: -0.03 eV/atom

***

Record 3
# PBE CsTaAs2O8, optimized geometry
data_CsTaAs2O8
_cell_length_a 5.2471
_cell_length_b 5.2471
_cell_length_c 28.4872
_cell_angle_alpha 90.00
_cell_angle_beta 90.00
_cell_angle_gamma 120.00
_space_group_name_H-M_alt 'R -3'
_space_group_IT_number 148
_space_group_name_Hall '-R 3'
loop_
_atom_site_label
_atom_site_fract_x
_atom_site_fract_y
_atom_site_fract_z
Cs1 0.0000 0.0000 0.0000
Ta1 0.0000 0.0000 0.5000
As1 0.0000 0.0000 0.2306
O1 0.0000 0.0000 0.2889
O2 0.0014 0.6042 0.8739
# spin magnetization: 0.2 Bohr magnetons per cell
# E_form (uncorrected): -1.832 eV/atom
# crystal system: trigonal

***

Record 4
# PBE LiPuTl2Se4, optimized geometry
data_LiPuTl2Se4
_cell_length_a 7.022
_cell_length_b 4.190
_cell_length_c 7.851
_cell_angle_alpha 90.00
_cell_angle_beta 107.44
_cell_angle_gamma 90.00
_space_group_name_H-M_alt 'P 1 2/m 1'
_space_group_IT_number 10
_space_group_name_Hall '-P 2y'
loop_
_atom_site_label
_atom_site_fract_x
_atom_site_fract_y
_atom_site_fract_z
Li1 0.000 0.000 0.000
Pu1 0.500 0.500 0.000
Tl1 0.000 0.500 0.500
Tl2 0.500 0.000 0.500
Se1 0.248 0.500 0.205
Se2 0.270 0.000 0.798
# spin magnetization: 3.2 Bohr magnetons per cell
# E_form (uncorrected): -0.820 eV/atom
# crystal system: monoclinic

***

Record 5
# PBE Ce6InFe2, optimized geometry
data_Ce6InFe2
_cell_length_a 10.366
_cell_length_b 4.770
_cell_length_c 8.634
_cell_angle_alpha 90.00
_cell_angle_beta 94.36
_cell_angle_gamma 90.00
_space_group_name_H-M_alt 'C 1 2/m 1'
_space_group_IT_number 12
_space_group_name_Hall '-C 2y'
loop_
_atom_site_label
_atom_site_fract_x
_atom_site_fract_y
_atom_site_fract_z
Ce1 0.067 0.000 0.369
Ce2 0.098 0.500 0.676
Ce3 0.208 0.500 0.125
In1 0.000 0.000 0.000
Fe1 0.238 0.500 0.376
# spin magnetization: 0.0 Bohr magnetons per cell
# crystal system: monoclinic
# formation energy: -0.17 eV/atom

***

Record 6
# PBE Ce5SbAs4, optimized geometry
data_Ce5SbAs4
_cell_length_a 4.263
_cell_length_b 6.060
_cell_length_c 21.412
_cell_angle_alpha 90.00
_cell_angle_beta 90.00
_cell_angle_gamma 90.00
_space_group_name_H-M_alt 'I m m m'
_space_group_IT_number 71
_space_group_name_Hall '-I 2 2'
loop_
_atom_site_label
_atom_site_fract_x
_atom_site_fract_y
_atom_site_fract_z
Ce1 0.000 0.000 0.000
Ce2 0.000 0.000 0.199
Ce3 0.000 0.000 0.393
Sb1 0.000 0.500 0.000
As1 0.000 0.500 0.203
As2 0.000 0.500 0.400
# spin magnetization: 7.6 Bohr magnetons per cell
# E_form (uncorrected): -1.326 eV/atom
# crystal system: orthorhombic

***

Repeat the third record exactly.
# PBE CsTaAs2O8, optimized geometry
data_CsTaAs2O8
_cell_length_a 5.2471
_cell_length_b 5.2471
_cell_length_c 28.4872
_cell_angle_alpha 90.00
_cell_angle_beta 90.00
_cell_angle_gamma 120.00
_space_group_name_H-M_alt 'R -3'
_space_group_IT_number 148
_space_group_name_Hall '-R 3'
loop_
_atom_site_label
_atom_site_fract_x
_atom_site_fract_y
_atom_site_fract_z
Cs1 0.0000 0.0000 0.0000
Ta1 0.0000 0.0000 0.5000
As1 0.0000 0.0000 0.2306
O1 0.0000 0.0000 0.2889
O2 0.0014 0.6042 0.8739
# spin magnetization: 0.2 Bohr magnetons per cell
# E_form (uncorrected): -1.832 eV/atom
# crystal system: trigonal